[1]
The following is a PBE calculation of a relaxed structure of VNi5Pt2, from the Alexandria database.

Computed properties:
For the polymorph energy (0 for the lowest one), the calculation gives 0.160 eV per atom. The value obtained for the density of states at the Fermi level is 24.0 states/eV per cell.

```
data_VNi5Pt2
_chemical_formula_sum 'V2 Ni10 Pt4'
_cell_length_a 3.9982
_cell_length_b 4.7827
_cell_length_c 11.6900
_cell_angle_alpha 90.00
_cell_angle_beta 90.00
_cell_angle_gamma 114.71
_space_group_name_H-M_alt 'P 1'
_space_group_IT_number 1
_space_group_name_Hall 'P 1'
loop_
_atom_site_label
_atom_site_type_symbol
_atom_site_fract_x
_atom_site_fract_y
_atom_site_fract_z
_atom_site_occupancy
Ni1 Ni 0.6143 0.2286 0.0561 1
V1 V 0.4593 0.9186 0.2500 1
Ni2 Ni 0.7701 0.5402 0.8718 1
Ni3 Ni 0.2299 0.4598 0.1282 1
Ni4 Ni 0.6143 0.2286 0.4439 1
Pt1 Pt 0.0763 0.1525 0.5999 1
Ni5 Ni 0.3857 0.7714 0.5561 1
Ni6 Ni 0.2777 0.5553 0.7500 1
Ni7 Ni 0.7223 0.4447 0.2500 1
Pt2 Pt 0.9237 0.8475 0.0999 1
Ni8 Ni 0.3857 0.7714 0.9439 1
Pt3 Pt 0.9237 0.8475 0.4001 1
Ni9 Ni 0.7701 0.5402 0.6282 1
Ni10 Ni 0.2299 0.4598 0.3718 1
V2 V 0.5407 0.0814 0.7500 1
Pt4 Pt 0.0763 0.1525 0.9001 1
```



[2]
The following is a PBE calculation of a relaxed structure of Ba2CeHoSe6, from the Alexandria database.

Computed properties:
As for the calculated total energy: -5.243 eV per atom. The value obtained for the density of states at the Fermi level is 27.8 states/eV per cell.

```
data_Ba2CeHoSe6
_chemical_formula_sum 'Ba4 Ce2 Ho2 Se12'
_cell_length_a 7.3942
_cell_length_b 8.0077
_cell_length_c 10.9088
_cell_angle_alpha 90.00
_cell_angle_beta 90.52
_cell_angle_gamma 90.00
_space_group_name_H-M_alt 'P 1'
_space_group_IT_number 1
_space_group_name_Hall 'P 1'
loop_
_atom_site_label
_atom_site_type_symbol
_atom_site_fract_x
_atom_site_fract_y
_atom_site_fract_z
_atom_site_occupancy
Se1 Se 0.9113 0.5186 0.2491 1
Se2 Se 0.8095 0.8013 0.9536 1
Ce1 Ce 0.5000 0.0000 0.0000 1
Ba1 Ba 0.4716 0.4210 0.2503 1
Ba2 Ba 0.9716 0.0790 0.7503 1
Se3 Se 0.1917 0.1991 0.4532 1
Ho1 Ho 0.5000 0.0000 0.5000 1
Se4 Se 0.8083 0.8009 0.5468 1
Se5 Se 0.5887 0.0186 0.2509 1
Ce2 Ce 0.0000 0.5000 0.5000 1
Ho2 Ho 0.0000 0.5000 0.0000 1
Ba3 Ba 0.0284 0.9210 0.2497 1
Se6 Se 0.6905 0.3013 0.5464 1
Se7 Se 0.3095 0.6987 0.4536 1
Se8 Se 0.0887 0.4814 0.7509 1
Ba4 Ba 0.5284 0.5790 0.7497 1
Se9 Se 0.3083 0.6991 0.0468 1
Se10 Se 0.6917 0.3009 0.9532 1
Se11 Se 0.4113 0.9814 0.7491 1
Se12 Se 0.1905 0.1987 0.0464 1
```